Material: LaY2TcPb
Method: DFT, PBE
State: optimized geometry

Summary:
final energy = -32.4 eV/cell
mass density = 6.67 g cm⁻³
SG = P4/mmm
calculated volume = 31.0 A^3/atom

a b c (Å): 5.415 5.415 5.281
angles (deg): 90.00 90.00 90.00
Fractional positions:
La 0.000 0.000 0.000
Y 0.000 0.500 0.500
Y 0.500 0.000 0.500
Tc 0.000 0.000 0.500
Pb 0.500 0.500 0.000

---

Material: CaSiP3
Method: DFT, PBE
State: optimized geometry

Summary:
energy above the lowest structure with this stoichiometry = 451 meV/atom
mass density = 2.69 g cm⁻³
SG = Pm-3m
uncorrected formation energy = 0.07 eV per atom
calculated volume = 19.9 A^3/atom

a b c (Å): 4.632 4.632 4.632
angles (deg): 90.00 90.00 90.00
Fractional positions:
Ca 0.000 0.000 0.000
Si 0.500 0.500 0.500
P 0.000 0.500 0.500
P 0.500 0.000 0.500
P 0.500 0.500 0.000

---

Material: TbDyCu
Method: DFT, PBE
State: optimized geometry

Summary:
energy above the lowest structure with this stoichiometry = 14 meV/atom
mass density = 8.46 g cm⁻³
SG = P-1
calculated volume = 25.2 A^3/atom

a b c (Å): 3.710 6.542 6.902
angles (deg): 74.01 74.41 73.55
Fractional positions:
Tb 0.156 0.250 0.437
Tb 0.844 0.750 0.563
Dy 0.402 0.310 0.886
Dy 0.598 0.690 0.114
Cu 0.121 0.931 0.827
Cu 0.879 0.069 0.173

---

Material: Na3InSb3Se8
Method: DFT, PBE
State: optimized geometry

Summary:
mass density = 4.74 g cm⁻³
SG = C2/m
uncorrected formation energy = -0.57 eV per atom
calculated volume = 27.6 A^3/atom

a b c (Å): 8.117 8.117 8.635
angles (deg): 118.08 118.08 59.99
Fractional positions:
Na 0.000 0.000 0.000
Na 0.000 0.500 0.000
Na 0.500 0.000 0.000
In 0.000 0.000 0.500
Sb 0.000 0.500 0.500
Sb 0.500 0.000 0.500
Sb 0.500 0.500 0.500
Se 0.237 0.237 0.723
Se 0.237 0.749 0.723
Se 0.251 0.763 0.277
Se 0.257 0.257 0.269
Se 0.743 0.743 0.731
Se 0.749 0.237 0.723
Se 0.763 0.251 0.277
Se 0.763 0.763 0.277

---

Material: CrGaAs
Method: DFT, PBE
State: optimized geometry

Summary:
energy above the lowest structure with this stoichiometry = 92 meV/atom
mass density = 6.88 g cm⁻³
SG = C2/m
calculated volume = 15.8 A^3/atom

a b c (Å): 5.544 5.544 6.256
angles (deg): 109.46 109.46 31.74
Fractional positions:
Cr 0.121 0.121 0.482
Cr 0.879 0.879 0.518
Ga 0.334 0.334 0.819
Ga 0.666 0.666 0.181
As 0.428 0.428 0.250
As 0.572 0.572 0.750

---

Material: MgGaRh
Method: DFT, PBE
State: optimized geometry

Summary:
final energy = -13.6 eV/cell
mass density = 6.73 g cm⁻³
SG = P-6m2
calculated volume = 16.2 A^3/atom

a b c (Å): 4.295 4.295 3.043
angles (deg): 90.00 90.00 120.00
Fractional positions:
Mg 0.000 0.000 0.000
Ga 0.333 0.667 0.500
Rh 0.667 0.333 0.500

---

Material: Na2BiCl
Method: DFT, PBE
State: optimized geometry

Summary:
energy above the lowest structure with this stoichiometry = 518 meV/atom
mass density = 4.10 g cm⁻³
SG = Fm-3m
uncorrected formation energy = -0.46 eV per atom
calculated volume = 29.4 A^3/atom

a b c (Å): 5.500 5.500 5.500
angles (deg): 60.00 60.00 60.00
Fractional positions:
Na 0.250 0.250 0.250
Na 0.750 0.750 0.750
Bi 0.000 0.000 0.000
Cl 0.500 0.500 0.500

---

Material: BaCdHg2
Method: DFT, PBE
State: optimized geometry

Summary:
final energy = -4.4 eV/cell
mass density = 7.65 g cm⁻³
SG = R3m
calculated volume = 35.3 A^3/atom

a b c (Å): 7.813 7.813 7.813
angles (deg): 35.16 35.16 35.16
Fractional positions:
Ba 0.000 0.000 0.000
Cd 0.176 0.176 0.176
Hg 0.432 0.432 0.432
Hg 0.571 0.571 0.571

---

Material: K4Th3Te8Pb
Method: DFT, PBE
State: optimized geometry

Summary:
mass density = 5.71 g cm⁻³
SG = R-3m
uncorrected formation energy = -1.10 eV per atom
calculated volume = 37.8 A^3/atom

a b c (Å): 9.844 9.844 9.844
angles (deg): 55.59 55.59 55.59
Fractional positions:
K 0.000 0.000 0.000
K 0.000 0.500 0.500
K 0.500 0.000 0.500
K 0.500 0.500 0.000
Th 0.000 0.000 0.500
Th 0.000 0.500 0.000
Th 0.500 0.000 0.000
Te 0.231 0.743 0.743
Te 0.239 0.239 0.239
Te 0.257 0.257 0.769
Te 0.257 0.769 0.257
Te 0.743 0.231 0.743
Te 0.743 0.743 0.231
Te 0.761 0.761 0.761
Te 0.769 0.257 0.257
Pb 0.500 0.500 0.500

---

Material: NaZnGa3
Method: DFT, PBE
State: optimized geometry

Summary:
energy above the lowest structure with this stoichiometry = 297 meV/atom
mass density = 4.05 g cm⁻³
SG = Pm-3m
calculated volume = 24.4 A^3/atom

a b c (Å): 4.962 4.962 4.962
angles (deg): 90.00 90.00 90.00
Fractional positions:
Na 0.000 0.000 0.000
Zn 0.500 0.500 0.500
Ga 0.000 0.500 0.500
Ga 0.500 0.000 0.500
Ga 0.500 0.500 0.000

---

Repeat the eighth record exactly.
Material: BaCdHg2
Method: DFT, PBE
State: optimized geometry

Summary:
final energy = -4.4 eV/cell
mass density = 7.65 g cm⁻³
SG = R3m
calculated volume = 35.3 A^3/atom

a b c (Å): 7.813 7.813 7.813
angles (deg): 35.16 35.16 35.16
Fractional positions:
Ba 0.000 0.000 0.000
Cd 0.176 0.176 0.176
Hg 0.432 0.432 0.432
Hg 0.571 0.571 0.571

---

- mass density of number 6 (MgGaRh)?
  6.73 g cm⁻³

---

- Which of these has the lowest mass density?
  CaSiP3

---

- The highest calculated volume belongs to which entry?
  K4Th3Te8Pb